1.
Material: SmP2Pt4
Method: DFT, GGA-PBE
State: relaxed

Properties
The calculation puts the density at 14.04 g cm⁻³. The calculation puts the formation energy at -521 kJ/mol of formula units. Its total energy is -6.44 eV per atom.

Lattice parameters (Å, degrees): 3.722 7.942 7.942 90.00 90.00 90.00
Sites, in units of the cell vectors:
P 0.500 0.273 0.273
Pt 0.500 0.809 0.438
Sm 0.500 0.000 0.000
Pt 0.000 0.062 0.309
Sm 0.000 0.500 0.500
Pt 0.500 0.562 0.191
Pt 0.500 0.191 0.562
P 0.000 0.773 0.227
P 0.500 0.727 0.727
Pt 0.000 0.691 0.938
Pt 0.000 0.309 0.062
Pt 0.000 0.938 0.691
P 0.000 0.227 0.773
Pt 0.500 0.438 0.809


2.
Material: SmSn2P2Pt7
Method: DFT, GGA-PBE
State: relaxed

Properties
The calculation puts the density at 12.71 g cm⁻³. The calculation puts the formation energy at -758 kJ/mol of formula units. Its total energy is -6.14 eV per atom.

Lattice parameters (Å, degrees): 3.961 3.961 15.380 82.56 82.56 89.98
Sites, in units of the cell vectors:
Pt 0.925 0.424 0.151
Sn 0.213 0.213 0.574
Sn 0.787 0.787 0.426
Pt 0.500 0.500 0.000
Pt 0.306 0.306 0.389
Pt 0.694 0.694 0.611
Pt 0.424 0.925 0.151
Sm 0.000 0.000 0.000
P 0.619 0.619 0.763
Pt 0.576 0.075 0.849
P 0.381 0.381 0.237
Pt 0.075 0.576 0.849


3.
Material: SrSmP2Pt4
Method: DFT, GGA-PBE
State: relaxed

Properties
The calculation puts the density at 10.65 g cm⁻³. The calculation puts the formation energy at -662 kJ/mol of formula units. Its total energy is -6.03 eV per atom.

Lattice parameters (Å, degrees): 4.093 4.093 10.056 90.00 90.00 90.00
Sites, in units of the cell vectors:
Pt 0.500 0.000 0.781
P 0.500 0.500 0.337
Pt 0.000 0.500 0.781
Pt 0.500 0.000 0.219
Sm 0.000 0.000 0.000
Sr 0.000 0.000 0.500
Pt 0.000 0.500 0.219
P 0.500 0.500 0.663


4.
Material: Sr2SmP3Pt12
Method: DFT, GGA-PBE
State: relaxed

Properties
The calculation puts the density at 12.25 g cm⁻³. The calculation puts the formation energy at -665 kJ/mol of formula units. Its total energy is -5.76 eV per atom.

Lattice parameters (Å, degrees): 7.817 7.817 7.817 64.89 64.89 64.89
Sites, in units of the cell vectors:
P 0.500 0.000 0.000
Pt 0.138 0.138 0.598
Sr 0.402 0.402 0.402
P 0.000 0.000 0.500
Sm 0.000 0.000 0.000
P 0.000 0.500 0.000
Pt 0.402 0.862 0.862
Pt 0.334 0.334 0.903
Pt 0.598 0.138 0.138
Pt 0.666 0.666 0.097
Pt 0.138 0.598 0.138
Pt 0.862 0.402 0.862
Sr 0.598 0.598 0.598
Pt 0.903 0.334 0.334
Pt 0.334 0.903 0.334
Pt 0.666 0.097 0.666
Pt 0.097 0.666 0.666
Pt 0.862 0.862 0.402


5.
Material: Sm6Te3PPt2
Method: DFT, GGA-PBE
State: relaxed

Properties
The calculation puts the density at 8.28 g cm⁻³. The calculation puts the uncorrected formation energy at -1335 meV per atom. Its total energy is -5.94 eV per atom.

Lattice parameters (Å, degrees): 7.345 7.345 7.739 99.13 99.13 120.15
Sites, in units of the cell vectors:
Sm 0.072 0.404 0.215
P 0.000 0.000 0.000
Sm 0.596 0.928 0.785
Te 0.835 0.165 0.500
Pt 0.667 0.333 0.000
Sm 0.404 0.072 0.215
Te 0.500 0.500 0.500
Sm 0.261 0.261 0.783
Sm 0.928 0.596 0.785
Sm 0.739 0.739 0.217
Pt 0.333 0.667 0.000
Te 0.165 0.835 0.500


6.
Material: SmTe2P2Pt7
Method: DFT, GGA-PBE
State: relaxed

Properties
The calculation puts the density at 12.91 g cm⁻³. The calculation puts the uncorrected formation energy at -646 meV per atom. Its total energy is -5.99 eV per atom.

Lattice parameters (Å, degrees): 4.026 4.026 14.819 82.20 82.20 90.00
Sites, in units of the cell vectors:
Sm 0.000 0.000 0.000
Te 0.208 0.208 0.584
Pt 0.423 0.923 0.154
Pt 0.923 0.423 0.154
Pt 0.577 0.077 0.846
Pt 0.699 0.699 0.602
P 0.620 0.620 0.759
P 0.380 0.380 0.241
Te 0.792 0.792 0.416
Pt 0.077 0.577 0.846
Pt 0.301 0.301 0.398
Pt 0.500 0.500 0.000